No. 1
# Ba2NpSnS5 | Alexandria via LeMat-Bulk | PBE | optimized geometry
# * total magnetic moment: 3.008 μB per formula unit
# * raw formation energy: -1412 meV/atom
# * SG: Cmc2_1, No. 36
# * E: -6.015 eV/atom
data_Ba2NpSnS5
_space_group_name_H-M_alt 'P 1'
_space_group_IT_number 1
_cell_length_a 4.2651
_cell_length_b 9.2470
_cell_length_c 13.6670
_cell_angle_alpha 90.00
_cell_angle_beta 90.00
_cell_angle_gamma 103.33
loop_
_space_group_symop_operation_xyz
'x,y,z'
loop_
_atom_site_label
_atom_site_type_symbol
_atom_site_fract_x
_atom_site_fract_y
_atom_site_fract_z
Ba1 Ba 0.8629 0.7259 0.8024
Ba2 Ba 0.0942 0.1884 0.6656
Ba3 Ba 0.1371 0.2741 0.3024
Ba4 Ba 0.9058 0.8116 0.1656
Np1 Np 0.7819 0.5638 0.5250
Np2 Np 0.2181 0.4362 0.0250
Sn1 Sn 0.5413 0.0826 0.9518
Sn2 Sn 0.4587 0.9174 0.4518
S1 S 0.3635 0.7271 0.9906
S2 S 0.6877 0.3755 0.8994
S3 S 0.4933 0.9865 0.7649
S4 S 0.2696 0.5392 0.6546
S5 S 0.9241 0.8483 0.5697
S6 S 0.6365 0.2729 0.4906
S7 S 0.3123 0.6245 0.3994
S8 S 0.5067 0.0135 0.2649
S9 S 0.7304 0.4608 0.1546
S10 S 0.0759 0.1517 0.0697

=====

No. 2
# Zn4NiRh | Alexandria via LeMat-Bulk | PBE | optimized geometry
# * total magnetic moment: 0.000 μB per formula unit
# * ΔE_f: -5.1 kJ/mol of atoms
# * SG: F-43m, No. 216
# * E: -3.091 eV/atom
data_Zn4NiRh
_space_group_name_H-M_alt 'P 1'
_space_group_IT_number 1
_cell_length_a 4.8730
_cell_length_b 4.8730
_cell_length_c 4.8730
_cell_angle_alpha 60.00
_cell_angle_beta 60.00
_cell_angle_gamma 60.00
loop_
_space_group_symop_operation_xyz
'x,y,z'
loop_
_atom_site_label
_atom_site_type_symbol
_atom_site_fract_x
_atom_site_fract_y
_atom_site_fract_z
Zn1 Zn 0.6249 0.6249 0.1252
Zn2 Zn 0.6249 0.1252 0.6249
Zn3 Zn 0.6249 0.6249 0.6249
Zn4 Zn 0.1252 0.6249 0.6249
Ni1 Ni 0.2500 0.2500 0.2500
Rh1 Rh 0.0000 0.0000 0.0000

=====

No. 3
# AcTbPr4Nd2 | Alexandria via LeMat-Bulk | PBE | optimized geometry
# * total magnetic moment: 0.000 μB per formula unit
# * ΔE_f: 1.8 kJ/mol of atoms
# * SG: P2/m, No. 10
# * E: -4.655 eV/atom
data_AcTbPr4Nd2
_space_group_name_H-M_alt 'P 1'
_space_group_IT_number 1
_cell_length_a 5.2723
_cell_length_b 5.2495
_cell_length_c 11.7762
_cell_angle_alpha 63.48
_cell_angle_beta 90.00
_cell_angle_gamma 90.00
loop_
_space_group_symop_operation_xyz
'x,y,z'
loop_
_atom_site_label
_atom_site_type_symbol
_atom_site_fract_x
_atom_site_fract_y
_atom_site_fract_z
Ac1 Ac 0.5000 0.5000 0.0000
Tb1 Tb 0.0000 0.5000 0.5000
Pr1 Pr 0.0000 0.7575 0.7426
Pr2 Pr 0.0000 0.2425 0.2574
Pr3 Pr 0.5000 0.7424 0.2574
Pr4 Pr 0.5000 0.2576 0.7426
Nd1 Nd 0.0000 0.0000 0.0000
Nd2 Nd 0.5000 0.0000 0.5000